Material: CaAcGa2
Method: DFT, GGA-PBE
State: relaxed

For the energy, the calculation gives -39.06 eV/cell.

It has space group R-3m (No. 166, hexagonal axes), with a = 3.9448 Å, b = 3.9448 Å, c = 27.5430 Å, α = 90.00°, β = 90.00° and γ = 120.00°. Symmetry generates all atoms from Ca at (0.0000, 0.0000, 0.0000), Ac at (0.0000, 0.0000, 0.5000) and Ga at (0.0000, 0.0000, 0.2537).

=====

Material: Sm3TmGa4
Method: DFT, GGA-PBE
State: relaxed

The calculation puts the distance to the lowest polymorph of the same formula at 129 meV/atom.

It has space group Immm (No. 71), with a = 3.6960 Å, b = 6.7585 Å, c = 16.7884 Å, α = 90.00°, β = 90.00° and γ = 90.00°. Symmetry generates all atoms from Sm at (0.0000, 0.0000, 0.0000), Sm at (0.0000, 0.5000, 0.2024), Tm at (0.0000, 0.0000, 0.5000) and Ga at (0.0000, 0.3059, 0.3722).

=====

Material: Th2SbH2
Method: DFT, GGA-PBE
State: relaxed

For the energy, the calculation gives -113.47 eV/cell.

It has space group C2/c (No. 15), with a = 6.5479 Å, b = 10.5034 Å, c = 6.5259 Å, α = 90.00°, β = 119.11° and γ = 90.00°. Symmetry generates all atoms from Th at (0.0000, 0.0798, 0.2500), Th at (0.0000, 0.3096, 0.7500), Sb at (0.0000, 0.3824, 0.2500) and H at (0.1107, 0.1170, 0.9668).

=====

Material: Pr2P3Rh6
Method: DFT, GGA-PBE
State: relaxed

For the energy, the calculation gives -79.39 eV/cell.

It has space group P-62m (No. 189), with a = 7.1811 Å, b = 7.1811 Å, c = 4.2093 Å, α = 90.00°, β = 90.00° and γ = 120.00°. Symmetry generates all atoms from Pr at (0.3333, 0.6667, 0.0000), P at (0.0000, 0.6262, 0.5000), Rh at (0.0000, 0.2894, 0.5000) and Rh at (0.0000, 0.7824, 0.0000).

=====

Material: BaBeN2O
Method: DFT, GGA-PBE
State: relaxed

For the formation energy without anion corrections, the calculation gives 0.022 eV per atom.

It has space group P4/mmm (No. 123), with a = 3.6922 Å, b = 3.6922 Å, c = 4.6636 Å, α = 90.00°, β = 90.00° and γ = 90.00°. Symmetry generates all atoms from Ba at (0.0000, 0.0000, 0.0000), Be at (0.5000, 0.5000, 0.5000), N at (0.0000, 0.5000, 0.5000) and O at (0.5000, 0.5000, 0.0000).

=====

Material: YHfPd2
Method: DFT, GGA-PBE
State: relaxed

The calculation puts the distance to the lowest polymorph of the same formula at 51 meV/atom.

It has space group P4/mmm (No. 123), with a = 4.8175 Å, b = 4.8175 Å, c = 3.4340 Å, α = 90.00°, β = 90.00° and γ = 90.00°. Symmetry generates all atoms from Y at (0.0000, 0.0000, 0.0000), Hf at (0.5000, 0.5000, 0.0000) and Pd at (0.0000, 0.5000, 0.5000).